{"formula": "SrTl2PO4", "functional": "PBE", "state": "optimized geometry", "formation_energy_uncorrected_ev_per_fu": -15.66, "rho_g_cm3": 6.04, "lattice_angstrom": [[-1.432, -4.654, 0.970], [3.774, -2.924, -8.457], [5.897, -1.181, 3.040]], "species": ["Sr", "Sr", "Tl", "Tl", "Tl", "Tl", "P", "P", "O", "O", "O", "O", "O", "O", "O", "O"], "fractional_positions": [[0.953, 0.086, 0.500], [0.453, 0.914, 0.000], [0.474, 0.376, 0.245], [0.474, 0.376, 0.755], [0.974, 0.624, 0.745], [0.974, 0.624, 0.255], [0.514, 0.845, 0.500], [0.014, 0.155, 0.000], [0.329, 0.160, 0.000], [0.829, 0.840, 0.500], [0.435, 0.001, 0.500], [0.935, 0.999, 0.000], [0.410, 0.774, 0.693], [0.910, 0.226, 0.193], [0.910, 0.226, 0.807], [0.410, 0.774, 0.307]]}

=====

{"formula": "SrTmP2O8", "functional": "PBE", "state": "optimized geometry", "formation_energy_uncorrected_ev_per_fu": -32.27, "rho_g_cm3": 4.07, "lattice_angstrom": [[5.367, 0.000, 0.000], [-2.683, 4.648, 0.000], [0.000, 0.000, 7.307]], "species": ["Sr", "Tm", "P", "P", "O", "O", "O", "O", "O", "O", "O", "O"], "fractional_positions": [[0.000, 0.000, 0.000], [0.000, 0.000, 0.500], [0.667, 0.333, 0.230], [0.333, 0.667, 0.770], [0.333, 0.667, 0.982], [0.352, 0.176, 0.299], [0.824, 0.176, 0.299], [0.667, 0.333, 0.018], [0.176, 0.824, 0.701], [0.648, 0.824, 0.701], [0.176, 0.352, 0.701], [0.824, 0.648, 0.299]]}

=====

Number 1: electronic total energy -5.915 eV per atom. Number 2: electronic total energy -7.409 eV per atom.